[1]
This record from Alexandria describes a relaxed CaGa3Co crystal. The functional is GGA-PBE.

Electronic total energy (eV/atom): -2.280
E_form (eV/atom): 1.36

a b c (Å): 5.4554 5.4554 5.4554
angles (deg): 90.00 90.00 90.00
Last column: nearest neighbours and their distance in Å.
Sites, in units of the cell vectors:
1 Ca 0.0000 0.0000 0.0000  6 Ga 2.73
2 Co 0.5000 0.5000 0.5000  12 Ga 3.86
3 Ga 0.0000 0.5000 0.0000  2 Ca 2.73
4 Ga 0.0000 0.0000 0.5000  2 Ca 2.73
5 Ga 0.5000 0.0000 0.0000  2 Ca 2.73

[2]
This record from Alexandria describes a relaxed Ca4Ga16Co3 crystal. The functional is GGA-PBE.

Electronic total energy (eV/atom): -3.744
E_form (eV/atom): -0.36

a b c (Å): 6.0646 6.0646 11.2347
angles (deg): 90.00 90.00 90.00
Last column: nearest neighbours and their distance in Å.
Sites, in units of the cell vectors:
1 Ca 0.5000 0.0000 0.8079  12 Ga 3.04-3.05
2 Ca 0.0000 0.5000 0.1921  12 Ga 3.04-3.05
3 Ca 0.0000 0.5000 0.8079  12 Ga 3.04-3.05
4 Ca 0.5000 0.0000 0.1921  12 Ga 3.04-3.05
5 Ga 0.0000 0.0000 0.7858  1 Co 2.41
6 Ga 0.2790 0.2790 0.0000  1 Co 2.39
7 Ga 0.5000 0.5000 0.7904  8 Ga 2.91-3.02, 4 Ca 3.04
8 Ga 0.7210 0.2790 0.0000  1 Co 2.39
9 Ga 0.5000 0.5000 0.2096  8 Ga 2.91-3.02, 4 Ca 3.04
10 Ga 0.7210 0.7210 0.0000  1 Co 2.39
11 Ga 0.0000 0.0000 0.2142  1 Co 2.41
12 Ga 0.7506 0.7506 0.6151  2 Co 2.50, 1 Ga 2.59
13 Ga 0.7506 0.2494 0.3849  2 Co 2.50, 1 Ga 2.59
14 Ga 0.2494 0.2494 0.6151  2 Co 2.50, 1 Ga 2.59
15 Ga 0.2494 0.7506 0.3849  2 Co 2.50, 1 Ga 2.59
16 Ga 0.2790 0.7210 0.0000  1 Co 2.39
17 Ga 0.7506 0.7506 0.3849  2 Co 2.50, 1 Ga 2.59
18 Ga 0.7506 0.2494 0.6151  2 Co 2.50, 1 Ga 2.59
19 Ga 0.2494 0.2494 0.3849  2 Co 2.50, 1 Ga 2.59
20 Ga 0.2494 0.7506 0.6151  2 Co 2.50, 1 Ga 2.59
21 Co 0.0000 0.5000 0.5000  8 Ga 2.50
22 Co 0.0000 0.0000 0.0000  6 Ga 2.39-2.41
23 Co 0.5000 0.0000 0.5000  8 Ga 2.50

[3]
This record from Alexandria describes a relaxed CaGa6Co6 crystal. The functional is GGA-PBE.

Electronic total energy (eV/atom): -5.095
E_form (eV/atom): -0.26

a b c (Å): 5.0460 6.4645 6.4645
angles (deg): 78.91 67.03 67.03
Last column: nearest neighbours and their distance in Å.
Sites, in units of the cell vectors:
1 Ca 0.0000 0.0000 0.0000  8 Ga 2.77-2.98
2 Ga 0.3427 0.6573 0.6573  6 Co 2.51-2.54, 1 Ga 2.71
3 Ga 0.6573 0.3427 0.3427  6 Co 2.51-2.54, 1 Ga 2.71
4 Ga 0.0000 0.3373 0.6627  6 Co 2.60-2.64, 1 Ga 2.67, 1 Ca 2.77
5 Ga 0.0000 0.6627 0.3373  6 Co 2.60-2.64, 1 Ga 2.67, 1 Ca 2.77
6 Ga 0.3165 0.1835 0.1835  6 Co 2.48-2.55
7 Ga 0.6835 0.8165 0.8165  6 Co 2.48-2.55
8 Co 0.0000 0.5000 0.0000  6 Ga 2.48-2.60, 4 Co 2.50-2.52
9 Co 0.5000 0.5000 0.0000  6 Ga 2.48-2.60, 4 Co 2.50-2.52
10 Co 0.0000 0.0000 0.5000  6 Ga 2.48-2.60, 4 Co 2.50-2.52
11 Co 0.5000 0.0000 0.5000  6 Ga 2.48-2.60, 4 Co 2.50-2.52
12 Co 0.5000 0.7571 0.2429  4 Co 2.50, 6 Ga 2.51-2.64
13 Co 0.5000 0.2429 0.7571  4 Co 2.50, 6 Ga 2.51-2.64

[4]
This record from Alexandria describes a relaxed CaGa3Co3 crystal. The functional is GGA-PBE.

Electronic total energy (eV/atom): -4.426
E_form (eV/atom): 0.20

a b c (Å): 6.4519 6.4519 6.4519
angles (deg): 90.00 90.00 90.00
Last column: nearest neighbours and their distance in Å.
Sites, in units of the cell vectors:
1 Ca 0.5000 0.5000 0.5000  12 Co 3.61, 12 Ga 3.61
2 Ca 0.0000 0.0000 0.0000  12 Co 3.61, 12 Ga 3.61
3 Co 0.2500 0.0000 0.5000  4 Ga 2.28
4 Co 0.0000 0.5000 0.2500  4 Ga 2.28
5 Co 0.5000 0.7500 0.0000  4 Ga 2.28
6 Co 0.7500 0.0000 0.5000  4 Ga 2.28
7 Co 0.0000 0.5000 0.7500  4 Ga 2.28
8 Co 0.5000 0.2500 0.0000  4 Ga 2.28
9 Ga 0.0000 0.2500 0.5000  4 Co 2.28
10 Ga 0.0000 0.7500 0.5000  4 Co 2.28
11 Ga 0.5000 0.0000 0.7500  4 Co 2.28
12 Ga 0.7500 0.5000 0.0000  4 Co 2.28
13 Ga 0.5000 0.0000 0.2500  4 Co 2.28
14 Ga 0.2500 0.5000 0.0000  4 Co 2.28

[5]
This record from Alexandria describes a relaxed CaGaCo crystal. The functional is GGA-PBE.

Electronic total energy (eV/atom): -4.360
E_form (eV/atom): -0.32

a b c (Å): 4.1906 4.1906 6.8008
angles (deg): 90.00 90.00 90.00
Last column: nearest neighbours and their distance in Å.
Sites, in units of the cell vectors:
1 Ca 0.5000 0.0000 0.1893  4 Co 2.98, 5 Ga 3.10-3.31
2 Ca 0.0000 0.5000 0.8107  4 Co 2.98, 5 Ga 3.10-3.31
3 Ga 0.5000 0.0000 0.6757  4 Co 2.41
4 Ga 0.0000 0.5000 0.3243  4 Co 2.41
5 Co 0.5000 0.5000 0.5000  4 Ga 2.41
6 Co 0.0000 0.0000 0.5000  4 Ga 2.41

[6]
This record from Alexandria describes a relaxed CaGa11Co crystal. The functional is GGA-PBE.

Electronic total energy (eV/atom): -3.381
E_form (eV/atom): -0.12

a b c (Å): 5.1452 7.8334 6.6850
angles (deg): 84.16 67.37 74.68
Last column: nearest neighbours and their distance in Å.
Sites, in units of the cell vectors:
1 Ca 0.0000 0.0000 0.0000  16 Ga 3.30-3.53
2 Ga 0.2665 0.2377 0.2163  1 Co 2.67, 6 Ga 2.67-2.91
3 Ga 0.7335 0.7623 0.7837  1 Co 2.67, 6 Ga 2.67-2.91
4 Ga 0.5173 0.7623 0.2163  1 Co 2.67, 6 Ga 2.67-2.91
5 Ga 0.4827 0.2377 0.7837  1 Co 2.67, 6 Ga 2.67-2.91
6 Ga 0.3877 0.6291 0.6578  1 Co 2.61, 4 Ga 2.70-2.91
7 Ga 0.6123 0.3709 0.3422  1 Co 2.61, 4 Ga 2.70-2.91
8 Ga 0.9545 0.3709 0.6578  1 Co 2.61, 4 Ga 2.70-2.91
9 Ga 0.0455 0.6291 0.3422  1 Co 2.61, 4 Ga 2.70-2.91
10 Ga 0.0000 0.5000 0.0000  2 Co 2.57, 8 Ga 2.71-2.76
11 Ga 0.5000 0.0000 0.5000  4 Ga 2.57-2.75
12 Ga 0.0000 0.0000 0.5000  4 Ga 2.57-2.75
13 Co 0.5000 0.5000 0.0000  10 Ga 2.57-2.67

[7]
This record from Alexandria describes a relaxed CaGa12Co4 crystal. The functional is GGA-PBE.

Electronic total energy (eV/atom): -4.110
E_form (eV/atom): -0.18

a b c (Å): 7.8506 7.8506 7.8506
angles (deg): 109.47 109.47 109.47
Last column: nearest neighbours and their distance in Å.
Sites, in units of the cell vectors:
1 Ca 0.0000 0.0000 0.0000  12 Ga 3.34
2 Ga 0.7390 0.2605 0.9995  2 Co 2.27
3 Ga 0.2605 0.5215 0.2610  2 Co 2.27
4 Ga 0.0005 0.2610 0.7395  2 Co 2.27
5 Ga 0.2605 0.9995 0.7390  2 Co 2.27
6 Ga 0.9995 0.7390 0.2605  2 Co 2.27
7 Ga 0.7395 0.4785 0.7390  2 Co 2.27
8 Ga 0.5215 0.2610 0.2605  2 Co 2.27
9 Ga 0.4785 0.7390 0.7395  2 Co 2.27
10 Ga 0.7395 0.0005 0.2610  2 Co 2.27
11 Ga 0.7390 0.7395 0.4785  2 Co 2.27
12 Ga 0.2610 0.2605 0.5215  2 Co 2.27
13 Ga 0.2610 0.7395 0.0005  2 Co 2.27
14 Co 0.0000 0.5000 0.0000  6 Ga 2.27
15 Co 0.5000 0.0000 0.0000  6 Ga 2.27
16 Co 0.5000 0.5000 0.5000  6 Ga 2.27
17 Co 0.0000 0.0000 0.5000  6 Ga 2.27

[8]
This record from Alexandria describes a relaxed CaGa6Co2 crystal. The functional is GGA-PBE.

Electronic total energy (eV/atom): -3.746
E_form (eV/atom): 0.07

a b c (Å): 8.2456 8.2456 8.2456
angles (deg): 60.00 60.00 60.00
Last column: nearest neighbours and their distance in Å.
Sites, in units of the cell vectors:
1 Ca 0.5000 0.5000 0.5000  6 Ga 3.33
2 Ca 0.7500 0.7500 0.7500  6 Ga 3.33
3 Ga 0.2141 0.2141 0.7859  2 Co 2.31
4 Ga 0.7859 0.7859 0.2141  2 Co 2.31
5 Ga 0.2141 0.7859 0.2141  2 Co 2.31
6 Ga 0.2141 0.7859 0.7859  2 Co 2.31
7 Ga 0.4641 0.4641 0.0359  2 Co 2.31
8 Ga 0.4641 0.0359 0.0359  2 Co 2.31
9 Ga 0.7859 0.2141 0.7859  2 Co 2.31
10 Ga 0.0359 0.0359 0.4641  2 Co 2.31
11 Ga 0.4641 0.0359 0.4641  2 Co 2.31
12 Ga 0.0359 0.4641 0.4641  2 Co 2.31
13 Ga 0.7859 0.2141 0.2141  2 Co 2.31
14 Ga 0.0359 0.4641 0.0359  2 Co 2.31
15 Co 0.1250 0.1250 0.1250  6 Ga 2.31
16 Co 0.1250 0.6250 0.1250  6 Ga 2.31
17 Co 0.1250 0.1250 0.6250  6 Ga 2.31
18 Co 0.6250 0.1250 0.1250  6 Ga 2.31

- Which of these has the lowest electronic total energy?
  CaGa6Co6

- Which formula does entry 4 have?
  CaGa3Co3